1.
{
  "formula": "BaMgBr2",
  "functional": "GGA-PBE",
  "state": "optimized geometry",
  "lattice_angstrom": [[4.0289, 0.0000, 0.0000], [0.0000, 4.0329, 0.0000], [-0.1885, 0.0000, 10.1499]],
  "species": ["Ba", "Mg", "Br", "Br"],
  "fractional_positions": [[0.0000, 0.0000, 0.0000], [0.0000, 0.0000, 0.5000], [0.4919, 0.5000, 0.8226], [0.5081, 0.5000, 0.1774]],
  "de_polymorph_ev_per_atom": 0.048,
  "volume_a3_per_cell": 165,
  "magnetic_moment_mub_per_cell": 0.00,
  "spacegroup": "No. 10",
  "raw_formation_energy_ev_per_atom": -1.220,
  "e_tot_ev_per_cell": -11.74
}

***

2.
{
  "formula": "BaMgBr4",
  "functional": "GGA-PBE",
  "state": "optimized geometry",
  "lattice_angstrom": [[0.0000, 4.6610, 4.6610], [4.6610, 0.0000, 4.6610], [4.6610, 4.6610, 0.0000]],
  "species": ["Ba", "Mg", "Br", "Br", "Br", "Br"],
  "fractional_positions": [[0.0000, 0.0000, 0.0000], [0.2500, 0.2500, 0.2500], [0.1266, 0.6245, 0.6245], [0.6245, 0.1266, 0.6245], [0.6245, 0.6245, 0.1266], [0.6245, 0.6245, 0.6245]],
  "de_polymorph_ev_per_atom": 1.307,
  "volume_a3_per_cell": 203,
  "magnetic_moment_mub_per_cell": 2.07,
  "spacegroup": "No. 216",
  "raw_formation_energy_ev_per_atom": -0.506,
  "e_tot_ev_per_cell": -13.25
}

***

3.
{
  "formula": "BaMgBr2",
  "functional": "GGA-PBE",
  "state": "optimized geometry",
  "lattice_angstrom": [[4.3870, 0.0000, 0.0000], [0.0000, 4.3870, 0.0000], [0.0000, 0.0000, 6.9067]],
  "species": ["Ba", "Mg", "Br", "Br"],
  "fractional_positions": [[0.0000, 0.0000, 0.0000], [0.5000, 0.5000, 0.6280], [0.0000, 0.0000, 0.5192], [0.5000, 0.5000, 0.2206]],
  "de_polymorph_ev_per_atom": 0.040,
  "volume_a3_per_cell": 133,
  "magnetic_moment_mub_per_cell": 0.00,
  "spacegroup": "No. 99",
  "raw_formation_energy_ev_per_atom": -1.228,
  "e_tot_ev_per_cell": -11.78
}

***

4.
{
  "formula": "BaMgBr2",
  "functional": "GGA-PBE",
  "state": "optimized geometry",
  "lattice_angstrom": [[8.1443, -2.0534, 0.0000], [8.1443, 2.0534, 0.0000], [-0.0145, 0.0000, 5.2924]],
  "species": ["Ba", "Mg", "Br", "Br"],
  "fractional_positions": [[0.0000, 0.0000, 0.0000], [0.7035, 0.7035, 0.0022], [0.3365, 0.3365, 0.9978], [0.5126, 0.5126, 0.5003]],
  "de_polymorph_ev_per_atom": 0.032,
  "volume_a3_per_cell": 177,
  "magnetic_moment_mub_per_cell": 0.00,
  "spacegroup": "No. 8",
  "raw_formation_energy_ev_per_atom": -1.235,
  "e_tot_ev_per_cell": -11.80
}